1.
MgNiSb2 | PBE | optimized geometry

The space group is C2/m (No. 12) and the conventional cell measures 6.814, 3.922 and 7.041 Å, with angles of 90.00, 108.86 and 90.00 degrees. Symmetry generates all atoms from Mg at (0.000, 0.000, 0.000), Ni at (0.000, 0.500, 0.500) and Sb at (0.231, 0.000, 0.689).

As for the crystal system: monoclinic. The formation energy without anion corrections is -15 kJ per mole of atoms. For the density of states at the Fermi level, the calculation gives 0.50 states/eV per atom.

2.
ZrSc2Br | PBE | optimized geometry

The space group is R-3m (No. 166, hexagonal axes) and the conventional cell measures 3.2675, 3.2675 and 30.7723 Å, with angles of 90.00, 90.00 and 120.00 degrees. Symmetry generates all atoms from Zr at (0.0000, 0.0000, 0.0000), Sc at (0.0000, 0.0000, 0.0956) and Br at (0.0000, 0.0000, 0.5000).

As for the crystal system: trigonal. The formation energy without anion corrections is -6 kJ per mole of atoms. For the density of states at the Fermi level, the calculation gives 1.05 states/eV per atom. The calculation puts the polymorph energy (0 for the lowest one) at 0.3933 eV per atom.